Entry 1:
The following is a PBE calculation of a relaxed Li2GePd2Pb crystal, from OQMD via LeMat-Bulk.

abc: 4.596 4.596 5.656
angles: 90.00 90.00 120.00
Positions (direct):
Li  0.000  0.000  0.235
Li  0.000  0.000  0.765
Pd  0.333  0.667  0.000
Pd  0.667  0.333  0.500
Ge  0.667  0.333  0.000
Pb  0.333  0.667  0.500

Results
total energy = -4.165 eV/atom
crystal system = hexagonal
space-group type = P-6m2, No. 187



Entry 2:
The following is a PBE calculation of a relaxed RbAgGe crystal, from OQMD via LeMat-Bulk.

abc: 5.175 5.175 5.175
angles: 60.00 60.00 60.00
Positions (direct):
Ag  0.000  0.000  0.000
Rb  0.750  0.750  0.750
Ge  0.250  0.250  0.250

Results
total energy = -2.279 eV/atom
crystal system = cubic
offset from the most stable computed form = 0.000 eV/f.u.
space-group type = F-43m, No. 216



Entry 3:
The following is a PBE calculation of a relaxed CuBi2Au crystal, from OQMD via LeMat-Bulk.

abc: 5.142 5.142 5.142
angles: 60.00 60.00 60.00
Positions (direct):
Bi  0.000  0.000  0.000
Bi  0.750  0.750  0.750
Au  0.500  0.500  0.500
Cu  0.250  0.250  0.250

Results
total energy = -3.459 eV/atom
crystal system = cubic
space-group type = F-43m, No. 216



Entry 4:
The following is a PBE calculation of a relaxed Re5Mo crystal, from OQMD via LeMat-Bulk.

abc: 6.192 6.192 7.444
angles: 90.26 90.26 137.41
Positions (direct):
Re  0.412  0.591  0.914
Re  0.591  0.412  0.414
Re  0.184  0.814  0.952
Re  0.816  0.186  0.048
Re  0.186  0.816  0.548
Re  0.409  0.588  0.586
Re  0.658  0.342  0.750
Re  0.588  0.409  0.086
Re  0.814  0.184  0.452
Re  0.342  0.658  0.250
Mo  0.024  0.976  0.250
Mo  0.976  0.024  0.750

Results
total energy = -11.637 eV/atom
magnetic moment = 0.00 μB/cell
crystal system = monoclinic
offset from the most stable computed form = 2.709 eV/f.u.
formation enthalpy at 0 K = 524 meV per atom
space-group type = C2/c, No. 15



Entry 5:
The following is a PBE calculation of a relaxed MgCu2Ge crystal, from OQMD via LeMat-Bulk.

abc: 4.363 4.363 4.363
angles: 60.00 60.00 60.00
Positions (direct):
Cu  0.750  0.750  0.750
Cu  0.000  0.000  0.000
Ge  0.500  0.500  0.500
Mg  0.250  0.250  0.250

Results
total energy = -3.372 eV/atom
crystal system = cubic
space-group type = F-43m, No. 216



Entry 6:
The following is a PBE calculation of a relaxed SmTmGa5 crystal, from OQMD via LeMat-Bulk.

abc: 4.309 4.309 8.173
angles: 90.00 90.00 90.00
Positions (direct):
Ga  0.500  0.500  0.000
Ga  0.000  0.500  0.262
Ga  0.000  0.500  0.738
Ga  0.500  0.000  0.738
Ga  0.500  0.000  0.262
Sm  0.000  0.000  0.000
Tm  0.000  0.000  0.500

Results
total energy = -3.875 eV/atom
magnetic moment = 0.00 μB/cell
crystal system = tetragonal
space-group type = P4/mmm, No. 123



Entry 7:
The following is a PBE calculation of a relaxed LaP12Os4 crystal, from OQMD via LeMat-Bulk.

abc: 7.036 7.036 7.036
angles: 109.47 109.47 109.47
Positions (direct):
P  0.357  0.144  0.501
P  0.499  0.643  0.856
P  0.144  0.787  0.643
P  0.144  0.501  0.357
P  0.643  0.856  0.499
P  0.357  0.856  0.213
P  0.787  0.643  0.144
P  0.213  0.357  0.856
P  0.643  0.144  0.787
P  0.856  0.213  0.357
P  0.856  0.499  0.643
P  0.501  0.357  0.144
Os  0.000  0.000  0.500
Os  0.500  0.000  0.000
Os  0.000  0.500  0.000
Os  0.500  0.500  0.500
La  0.000  0.000  0.000

Results
total energy = -7.372 eV/atom
magnetic moment = 0.00 μB/cell
crystal system = cubic
space-group type = Im-3, No. 204



Entry 8:
The following is a PBE calculation of a relaxed Nd6Fe13Ge crystal, from OQMD via LeMat-Bulk.

abc: 12.846 12.846 12.846
angles: 143.74 143.74 52.21
Positions (direct):
Fe  0.292  0.017  0.500
Fe  0.291  0.567  0.858
Fe  0.983  0.483  0.274
Fe  0.239  0.381  0.500
Fe  0.209  0.067  0.275
Fe  0.739  0.239  0.858
Fe  0.619  0.119  0.858
Fe  0.933  0.209  0.142
Fe  0.791  0.933  0.725
Fe  0.567  0.709  0.275
Fe  0.261  0.761  0.142
Fe  0.708  0.983  0.500
Fe  0.881  0.739  0.500
Fe  0.433  0.291  0.725
Fe  0.067  0.791  0.858
Fe  0.119  0.261  0.500
Fe  0.381  0.881  0.142
Fe  0.761  0.619  0.500
Fe  0.017  0.517  0.726
Fe  0.483  0.208  0.500
Fe  0.000  0.500  0.500
Fe  0.208  0.708  0.726
Fe  0.792  0.292  0.274
Fe  0.500  0.000  0.500
Fe  0.517  0.792  0.500
Fe  0.709  0.433  0.142
Nd  0.477  0.977  0.831
Nd  0.108  0.108  0.000
Nd  0.977  0.146  0.500
Nd  0.523  0.023  0.169
Nd  0.608  0.608  0.000
Nd  0.146  0.646  0.169
Nd  0.023  0.854  0.500
Nd  0.854  0.354  0.831
Nd  0.392  0.392  0.000
Nd  0.892  0.892  0.000
Nd  0.354  0.523  0.500
Nd  0.646  0.477  0.500
Ge  0.250  0.250  0.000
Ge  0.750  0.750  0.000

Results
total energy = -7.149 eV/atom
magnetic moment = 52.71 μB/cell
crystal system = tetragonal
space-group type = I4/mcm, No. 140



Entry 9:
The following is a PBE calculation of a relaxed Ba2GePtS6 crystal, from OQMD via LeMat-Bulk.

abc: 6.913 6.913 6.913
angles: 120.00 120.00 60.00
Positions (direct):
Ba  0.750  0.750  0.250
Ba  0.250  0.250  0.750
S  0.753  0.753  0.753
S  0.247  0.247  0.247
S  0.247  0.753  0.247
S  0.247  0.753  0.753
S  0.753  0.247  0.247
S  0.753  0.247  0.753
Ge  0.500  0.500  0.500
Pt  0.000  0.000  0.000

Results
total energy = -4.711 eV/atom
magnetic moment = 0.06 μB/cell
crystal system = cubic
space-group type = Fm-3m, No. 225



Entry 10:
The following is a PBE calculation of a relaxed MgTl2CuCl6 crystal, from OQMD via LeMat-Bulk.

abc: 6.987 6.987 6.987
angles: 60.00 60.00 60.00
Positions (direct):
Cl  0.247  0.753  0.247
Cl  0.247  0.753  0.753
Cl  0.247  0.247  0.753
Cl  0.753  0.247  0.247
Cl  0.753  0.247  0.753
Cl  0.753  0.753  0.247
Cu  0.000  0.000  0.000
Tl  0.250  0.250  0.250
Tl  0.750  0.750  0.750
Mg  0.500  0.500  0.500

Results
total energy = -3.145 eV/atom
crystal system = cubic
space-group type = Fm-3m, No. 225



Entry 11:
The following is a PBE calculation of a relaxed BaSrCd4 crystal, from OQMD via LeMat-Bulk.

abc: 6.504 6.504 6.504
angles: 132.79 100.88 97.58
Positions (direct):
Ba  0.447  0.447  0.000
Cd  0.027  0.838  0.189
Cd  0.649  0.838  0.811
Cd  0.478  0.166  0.312
Cd  0.855  0.166  0.688
Sr  0.044  0.544  0.500

Results
total energy = -1.546 eV/atom
crystal system = orthorhombic
offset from the most stable computed form = 0.000 eV/f.u.
space-group type = Imm2, No. 44



Entry 12:
The following is a PBE calculation of a relaxed Ge2PbAu crystal, from OQMD via LeMat-Bulk.

abc: 5.002 5.002 5.002
angles: 60.00 60.00 60.00
Positions (direct):
Ge  0.000  0.000  0.000
Ge  0.250  0.250  0.250
Au  0.500  0.500  0.500
Pb  0.750  0.750  0.750

Results
total energy = -3.813 eV/atom
crystal system = cubic
space-group type = F-43m, No. 216